Computed, not measured: a geometry-optimized Re2HgTe structure at the PBE level of DFT.

```
Re2HgTe
1.0
-4.949 -0.051 0.535
-1.021 -4.624 1.533
3.290 3.234 1.871
Hg Re Te
1 2 1
Direct
0.750 0.250 0.500 Hg
0.000 0.000 0.000 Re
0.250 0.750 0.500 Re
0.500 0.500 0.000 Te
```

Values from the calculation:
Total DFT energy (no corrections) (eV for the cell shown): -23.72
Density of states at the Fermi level (states/eV/f.u.): 3.71
Relative energy among the computed polymorphs (meV/atom): 789
Uncorrected formation energy (eV/atom): 1.154

***

Computed, not measured: a geometry-optimized CaCdRu2 structure at the PBE level of DFT.

```
CaCdRu2
1.0
3.489 0.000 0.000
0.000 3.489 0.000
0.000 0.000 6.455
Ru Ca Cd
2 1 1
Direct
0.000 0.000 0.551 Ru
0.000 0.000 0.949 Ru
0.500 0.500 0.250 Ca
0.500 0.500 0.750 Cd
```

Values from the calculation:
Total DFT energy (no corrections) (eV for the cell shown): -19.50
Density of states at the Fermi level (states/eV/f.u.): 4.13
DFT formation energy (eV/f.u.): 1.97

***

Computed, not measured: a geometry-optimized MnZnFe2 structure at the PBE level of DFT.

```
MnZnFe2
1.0
-1.576 -0.727 1.849
-2.146 -1.612 -2.464
2.645 -4.350 0.543
Fe Zn Mn
2 1 1
Direct
0.000 0.000 0.008 Fe
0.500 0.500 0.255 Fe
0.500 0.500 0.755 Zn
0.000 0.000 0.482 Mn
```

Values from the calculation:
Total DFT energy (no corrections) (eV for the cell shown): -26.86
Density of states at the Fermi level (states/eV/f.u.): 4.64
DFT formation energy (eV/f.u.): 0.51

***

Computed, not measured: a geometry-optimized CoPbSe3 structure at the PBE level of DFT.

```
CoPbSe3
1.0
-0.558 -4.316 2.077
2.682 1.451 3.736
-3.968 1.587 2.233
Se Pb Co
3 1 1
Direct
0.500 0.000 0.000 Se
0.000 0.000 0.500 Se
0.000 0.500 0.000 Se
0.500 0.500 0.500 Pb
0.000 0.000 0.000 Co
```

Values from the calculation:
Total DFT energy (no corrections) (eV for the cell shown): -21.10
Density of states at the Fermi level (states/eV/f.u.): 6.70
Relative energy among the computed polymorphs (meV/atom): 0
Uncorrected formation energy (eV/atom): 0.034

***

Computed, not measured: a geometry-optimized LiIrSeO5 structure at the PBE level of DFT.

```
LiIrSeO5
1.0
-3.694 -2.880 2.529
4.250 0.607 3.148
-2.912 6.436 1.109
Se O Li Ir
2 10 2 2
Direct
0.674 0.326 0.250 Se
0.326 0.674 0.750 Se
0.342 0.950 0.631 O
0.386 0.198 0.012 O
0.050 0.658 0.869 O
0.094 0.906 0.250 O
0.658 0.050 0.369 O
0.906 0.094 0.750 O
0.802 0.614 0.488 O
0.950 0.342 0.131 O
0.614 0.802 0.988 O
0.198 0.386 0.512 O
0.685 0.315 0.750 Li
0.315 0.685 0.250 Li
0.000 0.000 0.500 Ir
0.000 0.000 0.000 Ir
```

Values from the calculation:
Total DFT energy (no corrections) (eV for the cell shown): -91.13
Density of states at the Fermi level (states/eV/f.u.): 4.07
Uncorrected formation energy (eV/atom): -0.814

***

Computed, not measured: a geometry-optimized Ba2Ga3Ag4Pb structure at the PBE level of DFT.

```
Ba2Ga3Ag4Pb
1.0
-0.276 -1.962 -4.295
2.203 -3.859 1.621
-10.027 -4.575 2.734
Ba Ga Pb Ag
2 3 1 4
Direct
0.000 0.500 0.759 Ba
0.500 0.000 0.241 Ba
0.500 0.000 0.886 Ga
0.000 0.500 0.114 Ga
0.000 0.000 0.500 Ga
0.500 0.500 0.500 Pb
0.000 0.000 0.000 Ag
0.500 0.000 0.649 Ag
0.500 0.500 0.000 Ag
0.000 0.500 0.351 Ag
```

Values from the calculation:
Total DFT energy (no corrections) (eV for the cell shown): -30.75
Density of states at the Fermi level (states/eV/f.u.): 4.72
DFT formation energy (eV/f.u.): -2.71

***

Computed, not measured: a geometry-optimized KBa2Y structure at the PBE level of DFT.

```
KBa2Y
1.0
-2.327 -2.862 1.623
3.880 -0.993 0.440
0.318 6.587 12.071
K Ba Y
1 2 1
Direct
0.500 0.500 0.250 K
0.000 0.000 0.968 Ba
0.000 0.000 0.532 Ba
0.500 0.500 0.750 Y
```

Values from the calculation:
Total DFT energy (no corrections) (eV for the cell shown): -10.60
Density of states at the Fermi level (states/eV/f.u.): 5.10
DFT formation energy (eV/f.u.): 0.81
Relative energy among the computed polymorphs (meV/atom): 0

***

Computed, not measured: a geometry-optimized SrInSiC2 structure at the PBE level of DFT.

```
SrInSiC2
1.0
-0.135 0.292 4.508
0.106 -5.143 0.337
4.517 0.102 0.129
In Sr C Si
1 1 2 1
Direct
0.000 0.000 0.000 In
0.500 0.500 0.500 Sr
0.500 0.000 0.000 C
0.000 0.000 0.500 C
0.000 0.500 0.000 Si
```

Values from the calculation:
Total DFT energy (no corrections) (eV for the cell shown): -19.28
Density of states at the Fermi level (states/eV/f.u.): 3.24
Uncorrected formation energy (eV/atom): 1.803

***

Computed, not measured: a geometry-optimized NaHgAu2S structure at the PBE level of DFT.

```
NaHgAu2S
1.0
5.300 0.000 0.000
0.000 5.131 0.000
0.000 0.000 5.300
Hg Au Na S
1 2 1 1
Direct
0.000 0.000 0.000 Hg
0.000 0.000 0.500 Au
0.500 0.000 0.000 Au
0.500 0.500 0.500 Na
0.000 0.500 0.000 S
```

Values from the calculation:
Total DFT energy (no corrections) (eV for the cell shown): -11.00
Density of states at the Fermi level (states/eV/f.u.): 3.02
Uncorrected formation energy (eV/atom): 0.261

***

Computed, not measured: a geometry-optimized YNiTe2N structure at the PBE level of DFT.

```
YNiTe2N
1.0
5.987 0.000 0.000
0.000 5.987 0.000
0.000 0.000 4.026
N Te Ni Y
1 2 1 1
Direct
0.000 0.000 0.500 N
0.000 0.500 0.000 Te
0.500 0.000 0.000 Te
0.500 0.500 0.500 Ni
0.000 0.000 0.000 Y
```

Values from the calculation:
Total DFT energy (no corrections) (eV for the cell shown): -23.12
Density of states at the Fermi level (states/eV/f.u.): 8.63
Relative energy among the computed polymorphs (meV/atom): 866
Uncorrected formation energy (eV/atom): 0.748